# 1
An optimized crystal structure of La4YPb2, computed with PBE-GGA.

a = 7.0477 Å, b = 7.0477 Å, c = 4.9441 Å
α = 90.00°, β = 90.00°, γ = 98.41°
Closest atoms and distances in Å follow each position.
Positions (direct):
La (0.0000, 0.5000, 0.5000)  4 Pb 3.40, 2 Y 3.52, 4 La 3.66
La (0.2070, 0.2070, 0.0000)  4 Pb 3.53-3.60, 5 La 3.66-3.81, 2 Y 3.66
La (0.5000, 0.0000, 0.5000)  4 Pb 3.40, 2 Y 3.52, 4 La 3.66
La (0.7930, 0.7930, 0.0000)  4 Pb 3.53-3.60, 5 La 3.66-3.81, 2 Y 3.66
Y (0.5000, 0.5000, 0.5000)  4 Pb 3.36, 8 La 3.52-3.66
Pb (0.2863, 0.7137, 0.0000)  2 Y 3.36, 8 La 3.40-3.60
Pb (0.7137, 0.2863, 0.0000)  2 Y 3.36, 8 La 3.40-3.60

## Properties
**DOS at the Fermi energy**: 8.805 states/eV per cell
**Formation energy**: -2.39 eV/f.u.

# 2
An optimized crystal structure of La2Y2Pb, computed with PBE-GGA.

a = 8.2348 Å, b = 8.2348 Å, c = 4.9963 Å
α = 90.00°, β = 90.00°, γ = 90.00°
Closest atoms and distances in Å follow each position.
Positions (direct):
La (0.1552, 0.3448, 0.0000)  6 Y 3.39-3.53, 1 La 3.62
La (0.3448, 0.8448, 0.0000)  6 Y 3.39-3.53, 1 La 3.62
La (0.6552, 0.1552, 0.0000)  6 Y 3.39-3.53, 1 La 3.62
La (0.8448, 0.6552, 0.0000)  6 Y 3.39-3.53, 1 La 3.62
Y (0.1478, 0.6478, 0.5000)  2 Pb 3.15, 2 La 3.39, 1 Y 3.44
Y (0.3522, 0.1478, 0.5000)  2 Pb 3.15, 2 La 3.39, 1 Y 3.44
Y (0.6478, 0.8522, 0.5000)  2 Pb 3.15, 2 La 3.39, 1 Y 3.44
Y (0.8522, 0.3522, 0.5000)  2 Pb 3.15, 2 La 3.39, 1 Y 3.44
Pb (0.0000, 0.0000, 0.5000)  4 Y 3.15
Pb (0.5000, 0.5000, 0.5000)  4 Y 3.15

## Properties
**DOS at the Fermi energy**: 11.557 states/eV per cell
**Formation energy**: -0.71 eV/f.u.
**E above lowest polymorph**: 0.0 meV/atom

# 3
An optimized crystal structure of La4YPb, computed with PBE-GGA.

a = 6.6515 Å, b = 6.6515 Å, c = 6.6515 Å
α = 60.00°, β = 60.00°, γ = 60.00°
Closest atoms and distances in Å follow each position.
Positions (direct):
La (0.3760, 0.3760, 0.3760)  6 La 3.30-3.35
La (0.3760, 0.3760, 0.8721)  6 La 3.30-3.35
La (0.3760, 0.8721, 0.3760)  6 La 3.30-3.35
La (0.8721, 0.3760, 0.3760)  6 La 3.30-3.35
Y (0.7500, 0.7500, 0.7500)  12 La 3.90, 4 Pb 4.07
Pb (0.0000, 0.0000, 0.0000)  12 La 3.90, 4 Y 4.07

## Properties
**DOS at the Fermi energy**: 9.744 states/eV per cell
**Formation energy**: 0.69 eV/f.u.

# 4
An optimized crystal structure of LaY2Pb, computed with PBE-GGA.

a = 11.3341 Å, b = 11.3341 Å, c = 11.3341 Å
α = 18.47°, β = 18.47°, γ = 18.47°
Closest atoms and distances in Å follow each position.
Positions (direct):
La (0.0000, 0.0000, 0.0000)  6 Y 3.61, 6 La 3.64
Y (0.2453, 0.2453, 0.2453)  3 Pb 3.36, 3 La 3.61, 6 Y 3.64
Y (0.7547, 0.7547, 0.7547)  3 Pb 3.36, 3 La 3.61, 6 Y 3.64
Pb (0.5000, 0.5000, 0.5000)  6 Y 3.36, 6 Pb 3.64

## Properties
**DOS at the Fermi energy**: 5.036 states/eV per cell
**Formation energy**: -0.68 eV/f.u.

# 5
An optimized crystal structure of La3YPb4, computed with PBE-GGA.

a = 8.1966 Å, b = 8.1966 Å, c = 5.9572 Å
α = 111.05°, β = 111.05°, γ = 42.61°
Closest atoms and distances in Å follow each position.
Positions (direct):
La (0.0000, 0.0000, 0.0000)  8 Pb 3.42-3.43, 2 La 3.58
La (0.2542, 0.2542, 0.2538)  8 Pb 3.46-3.54, 1 Y 3.46, 1 La 3.58
La (0.7458, 0.7458, 0.7462)  8 Pb 3.46-3.54, 1 Y 3.46, 1 La 3.58
Y (0.5000, 0.5000, 0.5000)  8 Pb 3.42-3.43, 2 La 3.46
Pb (0.1197, 0.1197, 0.6191)  2 Pb 3.37-3.67, 6 La 3.42-3.54, 2 Y 3.42
Pb (0.3803, 0.3803, 0.8804)  2 Pb 3.37-3.67, 2 Y 3.42-3.43, 6 La 3.42-3.53
Pb (0.6197, 0.6197, 0.1196)  2 Pb 3.37-3.67, 2 Y 3.42-3.43, 6 La 3.42-3.53
Pb (0.8803, 0.8803, 0.3809)  2 Pb 3.37-3.67, 6 La 3.42-3.54, 2 Y 3.42

## Properties
**DOS at the Fermi energy**: 7.666 states/eV per cell
**Formation energy**: -4.24 eV/f.u.

# 6
An optimized crystal structure of LaYPb2, computed with PBE-GGA.

a = 4.5818 Å, b = 4.5818 Å, c = 6.4592 Å
α = 90.00°, β = 90.00°, γ = 90.00°
Closest atoms and distances in Å follow each position.
Positions (direct):
La (0.0000, 0.0000, 0.0000)  6 Pb 3.23-3.24
Y (0.5000, 0.5000, 0.5000)  6 Pb 3.23-3.24
Pb (0.0000, 0.0000, 0.5000)  2 La 3.23, 4 Y 3.24
Pb (0.5000, 0.5000, 0.0000)  2 Y 3.23, 4 La 3.24

## Properties
**DOS at the Fermi energy**: 4.107 states/eV per cell
**Formation energy**: -1.58 eV/f.u.

# 7
An optimized crystal structure of LaYPb, computed with PBE-GGA.

a = 8.5683 Å, b = 8.5683 Å, c = 4.6524 Å
α = 90.00°, β = 90.00°, γ = 120.00°
Closest atoms and distances in Å follow each position.
Positions (direct):
La (0.0000, 0.4085, 0.0000)  5 Pb 3.48-3.50, 6 Y 3.72-3.84
La (0.4085, 0.0000, 0.0000)  5 Pb 3.48-3.50, 6 Y 3.72-3.84
La (0.5915, 0.5915, 0.0000)  5 Pb 3.48-3.50, 6 Y 3.72-3.84
Y (0.0000, 0.7477, 0.5000)  4 Pb 3.18-3.26
Y (0.2523, 0.2523, 0.5000)  4 Pb 3.18-3.26
Y (0.7477, 0.0000, 0.5000)  4 Pb 3.18-3.26
Pb (0.0000, 0.0000, 0.0000)  6 Y 3.18, 3 La 3.50
Pb (0.3333, 0.6667, 0.5000)  3 Y 3.26, 6 La 3.48
Pb (0.6667, 0.3333, 0.5000)  3 Y 3.26, 6 La 3.48

## Properties
**DOS at the Fermi energy**: 5.378 states/eV per cell
**Formation energy**: -1.50 eV/f.u.

# 8
An optimized crystal structure of La9YPb2, computed with PBE-GGA.

a = 5.1009 Å, b = 5.1009 Å, c = 15.6015 Å
α = 90.00°, β = 90.00°, γ = 90.00°
Closest atoms and distances in Å follow each position.
Positions (direct):
La (0.0000, 0.0000, 0.0000)  4 Y 3.61, 8 La 3.71
La (0.0000, 0.0000, 0.3372)  8 La 3.60-3.62, 4 Pb 3.61
La (0.0000, 0.0000, 0.6628)  8 La 3.60-3.62, 4 Pb 3.61
La (0.0000, 0.5000, 0.1725)  8 La 3.61-3.71, 2 Pb 3.62, 2 Y 3.71
La (0.0000, 0.5000, 0.5000)  4 Pb 3.60, 8 La 3.60-3.61
La (0.0000, 0.5000, 0.8275)  8 La 3.61-3.71, 2 Pb 3.62, 2 Y 3.71
La (0.5000, 0.0000, 0.1725)  8 La 3.61-3.71, 2 Pb 3.62, 2 Y 3.71
La (0.5000, 0.0000, 0.5000)  4 Pb 3.60, 8 La 3.60-3.61
La (0.5000, 0.0000, 0.8275)  8 La 3.61-3.71, 2 Pb 3.62, 2 Y 3.71
Y (0.5000, 0.5000, 0.0000)  12 La 3.61-3.71
Pb (0.5000, 0.5000, 0.3374)  12 La 3.60-3.62
Pb (0.5000, 0.5000, 0.6626)  12 La 3.60-3.62

## Properties
**DOS at the Fermi energy**: 16.435 states/eV per cell
**Formation energy**: -2.83 eV/f.u.